No. 1
A plane-wave DFT calculation with PBE was carried out for an optimized crystal structure of Li4PrGa2.

Unit cell a=4.3436 b=15.1326 c=4.3466 alpha=90.00 beta=90.00 gamma=90.00
Space group Cmmm (No. 65)
Symmetry-distinct sites (fractional):
Li  0.0000  0.1812  0.0000 x4
Li  0.0000  0.3128  0.5000 x4
Pr  0.0000  0.5000  0.0000 x2
Ga  0.0000  0.0823  0.5000 x4

## Properties
energy relative to the elements = -262 meV per atom

No. 2
A plane-wave DFT calculation with PBE was carried out for an optimized crystal structure of Ac3Pm4Te8.

Unit cell a=12.9707 b=12.9765 c=9.1004 alpha=90.00 beta=134.54 gamma=90.00
Space group C2/m (No. 12)
Symmetry-distinct sites (fractional):
Ac  0.0000  0.0000  0.0000 x2
Ac  0.2500  0.2500  0.5000 x4
Pm  0.0000  0.5000  0.0000 x2
Pm  0.0000  0.5000  0.5000 x2
Pm  0.2500  0.2500  0.0000 x4
Te  0.0000  0.2505  0.5000 x4
Te  0.0000  0.2556  0.0000 x4
Te  0.2433  0.5000  0.4885 x4
Te  0.2448  0.5000  0.0003 x4

## Properties
E_form (uncorrected) = -1462 meV per atom

No. 3
A plane-wave DFT calculation with PBE was carried out for an optimized crystal structure of AcPrI6.

Unit cell a=7.9507 b=7.9507 c=21.8664 alpha=90.00 beta=90.00 gamma=120.00
Space group R-3 (No. 148, hexagonal axes)
Symmetry-distinct sites (fractional):
Ac  0.0000  0.0000  0.0000 x3
Pr  0.0000  0.0000  0.5000 x3
I  0.0028  0.6607  0.0848 x18

## Properties
E_form (uncorrected) = -1428 meV per atom

No. 4
A plane-wave DFT calculation with PBE was carried out for an optimized crystal structure of Ba6CaCd5.

Unit cell a=6.0749 b=8.7220 c=18.2366 alpha=90.00 beta=90.00 gamma=90.00
Space group Immm (No. 71)
Symmetry-distinct sites (fractional):
Ba  0.0000  0.2270  0.0000 x4
Ba  0.0000  0.2609  0.3259 x8
Ca  0.0000  0.0000  0.5000 x2
Cd  0.0000  0.0000  0.1678 x4
Cd  0.0000  0.5000  0.1498 x4
Cd  0.0000  0.5000  0.5000 x2

## Properties
energy relative to the elements = -251 meV per atom

No. 5
A plane-wave DFT calculation with PBE was carried out for an optimized crystal structure of K2SnI.

Unit cell a=9.6131 b=9.6131 c=7.4667 alpha=90.00 beta=90.00 gamma=90.00
Space group I-42d (No. 122)
Symmetry-distinct sites (fractional):
K  0.2322  0.2500  0.1250 x8
Sn  0.0000  0.0000  0.5000 x4
I  0.0000  0.0000  0.0000 x4

## Properties
offset from the most stable computed form = 0.090 eV per formula unit
E_form (uncorrected) = -368 meV per atom

No. 6
A plane-wave DFT calculation with PBE was carried out for an optimized crystal structure of GdPuP.

Unit cell a=3.5817 b=3.5817 c=11.4383 alpha=90.00 beta=90.00 gamma=90.00
Space group I4mm (No. 107)
Symmetry-distinct sites (fractional):
Gd  0.0000  0.0000  0.0000 x2
Pu  0.0000  0.0000  0.7419 x2
P  0.0000  0.0000  0.3647 x2

## Properties
offset from the most stable computed form = 0.265 eV per formula unit
energy relative to the elements = -630 meV per atom

No. 7
A plane-wave DFT calculation with PBE was carried out for an optimized crystal structure of LiLa12Nd3.

Unit cell a=5.2365 b=5.2365 c=20.7996 alpha=90.00 beta=90.00 gamma=90.00
Space group P4/mmm (No. 123)
Symmetry-distinct sites (fractional):
Li  0.0000  0.0000  0.0000 x1
La  0.0000  0.5000  0.1220 x4
La  0.0000  0.5000  0.3731 x4
La  0.5000  0.5000  0.0000 x1
La  0.5000  0.5000  0.2453 x2
La  0.5000  0.5000  0.5000 x1
Nd  0.0000  0.0000  0.2450 x2
Nd  0.0000  0.0000  0.5000 x1

## Properties
energy relative to the elements = 34 meV per atom

No. 8
A plane-wave DFT calculation with PBE was carried out for an optimized crystal structure of Ba5Li6.

Unit cell a=5.2074 b=36.1801 c=5.0193 alpha=90.00 beta=90.00 gamma=90.00
Space group Cmmm (No. 65)
Symmetry-distinct sites (fractional):
Ba  0.0000  0.0000  0.0000 x2
Ba  0.0000  0.1958  0.5000 x4
Ba  0.0000  0.3832  0.0000 x4
Li  0.0000  0.0840  0.5000 x4
Li  0.0000  0.2731  0.0000 x4
Li  0.0000  0.4596  0.5000 x4

## Properties
energy relative to the elements = 52 meV per atom

No. 9
A plane-wave DFT calculation with PBE was carried out for an optimized crystal structure of AcNpBiSb.

Unit cell a=7.9738 b=7.9738 c=7.9738 alpha=90.00 beta=90.00 gamma=90.00
Space group F-43m (No. 216)
Symmetry-distinct sites (fractional):
Ac  0.0000  0.0000  0.0000 x4
Np  0.0000  0.0000  0.5000 x4
Bi  0.2500  0.2500  0.7500 x4
Sb  0.2500  0.2500  0.2500 x4

## Properties
E_form (uncorrected) = -332 meV per atom

No. 10
A plane-wave DFT calculation with PBE was carried out for an optimized crystal structure of NdY5Th2.

Unit cell a=5.6243 b=11.3040 c=16.6944 alpha=90.00 beta=90.00 gamma=90.00
Space group Cmcm (No. 63)
Symmetry-distinct sites (fractional):
Nd  0.0000  0.1932  0.2500 x4
Y  0.0000  0.0917  0.0717 x8
Y  0.0000  0.3884  0.0572 x8
Y  0.0000  0.4992  0.7500 x4
Th  0.0000  0.2195  0.6452 x8

## Properties
offset from the most stable computed form = 0.660 eV per formula unit
energy relative to the elements = 177 meV per atom

No. 11
A plane-wave DFT calculation with PBE was carried out for an optimized crystal structure of AcNbTlO6.

Unit cell a=5.6416 b=5.6416 c=10.5957 alpha=90.00 beta=90.00 gamma=120.00
Space group P-31c (No. 163)
Symmetry-distinct sites (fractional):
Ac  0.0000  0.0000  0.0000 x2
Nb  0.3333  0.6667  0.2500 x2
Tl  0.3333  0.6667  0.7500 x2
O  0.0313  0.3820  0.1402 x12

## Properties
E_form (uncorrected) = -2023 meV per atom

No. 12
A plane-wave DFT calculation with PBE was carried out for an optimized crystal structure of Pm2Al3Au.

Unit cell a=7.5821 b=9.1276 c=15.8600 alpha=90.00 beta=90.00 gamma=90.00
Space group Fmmm (No. 69)
Symmetry-distinct sites (fractional):
Pm  0.2442  0.0000  0.0000 x8
Pm  0.2500  0.2500  0.2500 x8
Al  0.0000  0.0000  0.3344 x8
Al  0.0000  0.2492  0.0834 x16
Au  0.0000  0.0000  0.1689 x8

## Properties
offset from the most stable computed form = 0.124 eV per formula unit
energy relative to the elements = -601 meV per atom